Record 1
Er2ZnAu4 (PBE, relaxed); space group = C2/m (12); calculated total energy = -28.25 eV for the cell shown; magnetization = 0.000 μB per cell; ΔH_f (0 K) = -677.3 meV/atom
1.0
4.6168 -0.1518 1.8729
1.9476 4.1886 1.8729
0.9279 0.5706 7.9248
Au Zn Er
4 1 2
Direct
0.4432 0.4432 0.7756
0.2023 0.2023 0.6130
0.5568 0.5568 0.2244
0.7977 0.7977 0.3870
0.0000 0.0000 0.0000
0.2206 0.2206 0.2177
0.7794 0.7794 0.7823

=====

Record 2
ErZnAu3 (PBE, relaxed); space group = Pnma (62); calculated total energy = -73.39 eV for the cell shown; magnetization = 0.000 μB per cell; ΔH_f (0 K) = -535.8 meV/atom
1.0
-3.4073 -2.6454 0.5782
3.0882 -2.2798 7.7682
-5.4223 7.9660 4.4934
Au Zn Er
12 4 4
Direct
0.2500 0.5584 0.0899
0.2500 0.0584 0.4101
0.7500 0.6473 0.6965
0.2500 0.8527 0.1965
0.2500 0.4127 0.6642
0.7500 0.5873 0.3358
0.2500 0.9127 0.8358
0.7500 0.1473 0.8035
0.7500 0.4416 0.9101
0.7500 0.9416 0.5899
0.7500 0.0873 0.1642
0.2500 0.3527 0.3035
0.7500 0.3857 0.1519
0.2500 0.1143 0.6519
0.2500 0.6143 0.8481
0.7500 0.8857 0.3481
0.7500 0.3004 0.4992
0.2500 0.6996 0.5008
0.2500 0.1996 0.9992
0.7500 0.8004 0.0008

=====

Record 3
Er3ZnAu (PBE, relaxed); space group = Cmcm (63); calculated total energy = -41.19 eV for the cell shown; magnetization = 0.141 μB per cell; ΔH_f (0 K) = -471.0 meV/atom
1.0
4.9007 0.0000 1.1199
0.0000 5.0255 0.0000
0.3089 0.0000 9.9308
Er Au Zn
6 2 2
Direct
0.3892 0.2500 0.8699
0.7562 0.2500 0.1360
0.8922 0.7500 0.8640
0.2591 0.7500 0.1301
0.0751 0.7500 0.4982
0.5733 0.2500 0.5018
0.6634 0.7500 0.3217
0.9850 0.2500 0.6783
0.4791 0.7500 0.6902
0.1693 0.2500 0.3098

=====

Record 4
Er6ZnAu5 (PBE, relaxed); space group = Cmmm (65); calculated total energy = -54.59 eV for the cell shown; magnetization = 0.000 μB per cell; ΔH_f (0 K) = -796.4 meV/atom
1.0
4.7958 -0.0289 1.5982
0.0377 7.0704 0.0125
-0.0065 -0.0145 8.0138
Er Zn Au
6 1 5
Direct
0.8324 0.2492 0.3351
0.5000 0.7464 0.0000
0.5000 0.2536 0.0000
0.1676 0.7508 0.6649
0.1676 0.2492 0.6649
0.8324 0.7508 0.3351
0.0000 0.0000 0.0000
0.6570 0.0000 0.6861
0.6685 0.5000 0.6629
0.3430 0.0000 0.3139
0.3315 0.5000 0.3371
0.0000 0.5000 0.0000

=====

Record 5
Er4Zn5Au6 (PBE, relaxed); space group = Cmc2_1 (36); calculated total energy = -105.82 eV for the cell shown; magnetization = 0.000 μB per cell; ΔH_f (0 K) = -575.0 meV/atom
1.0
3.8788 0.0000 0.0000
-1.9394 10.8191 0.0000
0.0000 0.0000 14.7493
Au Er Zn
12 8 10
Direct
0.4109 0.8219 0.1304
0.2178 0.4356 0.4800
0.4188 0.8376 0.4292
0.7422 0.4844 0.2793
0.7822 0.5644 0.9800
0.8982 0.7963 0.5961
0.2578 0.5156 0.7793
0.4575 0.9149 0.8496
0.5891 0.1781 0.6304
0.1018 0.2037 0.0961
0.5425 0.0851 0.3496
0.5812 0.1624 0.9292
0.0231 0.0462 0.5075
0.8136 0.6272 0.4475
0.9769 0.9538 0.0075
0.1399 0.2799 0.2875
0.9476 0.8953 0.2768
0.1864 0.3728 0.9475
0.8601 0.7201 0.7875
0.0524 0.1047 0.7768
0.8253 0.6507 0.1445
0.3320 0.6640 0.2818
0.1747 0.3493 0.6445
0.3091 0.6183 0.6168
0.6377 0.2753 0.4622
0.6680 0.3360 0.7818
0.3624 0.7247 0.9622
0.6909 0.3817 0.1168
0.4647 0.9293 0.6662
0.5353 0.0707 0.1662

=====

Record 6
ErZn3Au3 (PBE, relaxed); space group = R-3 (148); calculated total energy = -42.07 eV for the cell shown; magnetization = 0.000 μB per cell; ΔE to the lowest computed polymorph = 0.00 eV per formula unit; ΔH_f (0 K) = -402.8 meV/atom
1.0
-3.8845 1.6044 5.6112
0.4642 -3.8908 5.8133
3.4053 2.9121 5.9043
Au Zn Er
6 6 2
Direct
0.1798 0.6918 0.2002
0.8202 0.3082 0.7998
0.6918 0.9282 0.2002
0.0718 0.8202 0.7998
0.3082 0.0718 0.7998
0.9282 0.1798 0.2002
0.8972 0.4548 0.3770
0.4548 0.2711 0.3770
0.5452 0.7289 0.6230
0.2711 0.8972 0.3770
0.7289 0.1028 0.6230
0.1028 0.5452 0.6230
0.6618 0.6618 0.0147
0.3382 0.3382 0.9853

=====

Record 7
Er5Zn2Au2 (PBE, relaxed); space group = Cmce (64); calculated total energy = -73.17 eV for the cell shown; magnetization = 0.000 μB per cell; ΔH_f (0 K) = -518.7 meV/atom
1.0
7.3705 0.0000 0.0000
0.0000 7.3277 0.0000
0.0000 -3.6639 8.1053
Er Au Zn
10 4 4
Direct
0.5000 0.5000 0.0000
0.0000 0.0000 0.0000
0.8274 0.5345 0.7162
0.1726 0.1816 0.7162
0.8274 0.8184 0.2838
0.3274 0.6816 0.7162
0.6726 0.3184 0.2838
0.6726 0.0345 0.7162
0.3274 0.9655 0.2838
0.1726 0.4655 0.2838
0.5000 0.7105 0.4211
0.5000 0.2895 0.5789
0.0000 0.2105 0.4211
0.0000 0.7895 0.5789
0.6209 0.8809 0.0000
0.1209 0.6191 0.0000
0.3791 0.1191 0.0000
0.8791 0.3809 0.0000

=====

Record 8
ErZn5Au2 (PBE, relaxed); space group = Immm (71); calculated total energy = -20.18 eV for the cell shown; magnetization = 0.000 μB per cell; ΔH_f (0 K) = -336.9 meV/atom
1.0
-3.4776 -0.9575 -0.5544
-0.2485 -6.5870 0.9238
-2.5438 -1.2074 6.0311
Zn Au Er
5 2 1
Direct
0.0000 0.5000 0.5000
0.3689 0.4361 0.8261
0.3689 0.8261 0.4361
0.6311 0.5639 0.1739
0.6311 0.1739 0.5639
0.2641 0.2359 0.2359
0.7359 0.7641 0.7641
0.0000 0.0000 0.0000